[1]
Here is an optimized crystal structure of Be2CrCl from Alexandria. Energies are from PBE-GGA.

## Properties
The space group is Pm. The total energy comes out at -17.7 eV per cell. For the relative energy among the computed polymorphs, the calculation gives 105 meV per atom.

abc: 3.164 3.057 6.747
angles: 103.65 90.00 90.00
Each line ends with the local moment (μB).
Positions (direct):
Cl  0.000  0.394  0.415  -0.01
Be  0.500  0.281  0.213  -0.03
Be  0.000  0.187  0.983  -0.04
Cr  0.500  0.638  0.889  2.79

[2]
Here is an optimized crystal structure of Te2PtAu from Alexandria. Energies are from PBE-GGA.

## Properties
The space group is Immm. The total energy comes out at -16.1 eV per cell.

abc: 6.608 6.608 6.608
angles: 144.64 140.89 53.74
Positions (direct):
Au  0.750  0.250  0.500
Pt  0.250  0.750  0.500
Te  0.401  0.401  0.000
Te  0.099  0.099  0.000

[3]
Here is an optimized crystal structure of Ba5Sr6Ca4 from Alexandria. Energies are from PBE-GGA.

## Properties
The space group is Cmc2_1. The total energy comes out at -53.3 eV per cell. For the formation enthalpy at 0 K, the calculation gives 72 meV per atom.

abc: 4.176 17.932 21.974
angles: 90.00 90.00 96.69
Positions (direct):
Sr  0.910  0.821  0.587
Sr  0.244  0.489  0.454
Sr  0.466  0.933  0.858
Sr  0.723  0.446  0.293
Sr  0.405  0.810  0.133
Sr  0.756  0.511  0.954
Sr  0.595  0.190  0.633
Sr  0.534  0.067  0.358
Sr  0.090  0.179  0.087
Sr  0.277  0.554  0.793
Sr  0.567  0.134  0.935
Sr  0.433  0.866  0.435
Ca  0.062  0.123  0.784
Ca  0.938  0.877  0.284
Ca  0.977  0.955  0.019
Ca  0.119  0.238  0.265
Ca  0.023  0.045  0.519
Ca  0.881  0.762  0.765
Ca  0.162  0.323  0.957
Ca  0.838  0.677  0.457
Ba  0.312  0.624  0.618
Ba  0.199  0.397  0.626
Ba  0.801  0.603  0.126
Ba  0.514  0.027  0.181
Ba  0.688  0.376  0.118
Ba  0.635  0.270  0.449
Ba  0.665  0.330  0.798
Ba  0.486  0.973  0.681
Ba  0.365  0.730  0.949
Ba  0.335  0.670  0.298

[4]
Here is an optimized crystal structure of NdDyHoMg from Alexandria. Energies are from PBE-GGA.

## Properties
The space group is P4mm. The total energy comes out at -15.7 eV per cell. For the formation enthalpy at 0 K, the calculation gives -27 meV per atom. For the relative energy among the computed polymorphs, the calculation gives 0 meV per atom.

abc: 3.649 3.649 9.090
angles: 90.00 90.00 90.00
Positions (direct):
Nd  0.000  0.000  0.072
Dy  0.500  0.500  0.797
Ho  0.500  0.500  0.345
Mg  0.000  0.000  0.570